BaZr2TeAu: relaxed, PBE-GGA.

Lattice parameters (Å, degrees): 5.3254 5.3254 6.3624 90.00 90.00 90.00
Last column: nearest neighbours and their distance in Å.
Space group P4/mmm (No. 123)
Symmetry-distinct sites (fractional):
Ba1 0.0000 0.0000 0.0000 (multiplicity 1)  2 Te 3.18
Zr1 0.0000 0.5000 0.5000 (multiplicity 2)  2 Te 2.66
Te1 0.0000 0.0000 0.5000 (multiplicity 1)  4 Zr 2.66
Au1 0.5000 0.5000 0.0000 (multiplicity 1)  4 Ba 3.77, 8 Zr 4.15

Output
mass density = 5.9 Mg/m³
DOS at the Fermi energy = 4.82 states/eV/f.u.
energy relative to the elements, uncorrected = 449 meV per atom
M_tot = 0.000 μB per formula unit